(1)
# Cs2K2HgSb2, relaxed, DFT PBE
data_Cs2K2HgSb2
_chemical_formula_sum 'Cs6 K6 Hg3 Sb6'
_space_group_name_H-M_alt 'R -3 m'
_space_group_IT_number 166
_space_group_name_Hall '-R 3 2"'
_cell_length_a 6.2440
_cell_length_b 6.2440
_cell_length_c 32.1341
_cell_angle_alpha 90.00
_cell_angle_beta 90.00
_cell_angle_gamma 120.00
loop_
_atom_site_label
_atom_site_type_symbol
_atom_site_fract_x
_atom_site_fract_y
_atom_site_fract_z
_atom_site_occupancy
Cs1 Cs 0.0000 0.0000 0.2060 1
K1 K 0.0000 0.0000 0.3851 1
Hg1 Hg 0.0000 0.0000 0.0000 1
Sb1 Sb 0.0000 0.0000 0.0841 1
# E above lowest polymorph	0.0	meV per atom

=====

(2)
# CsLiHg, relaxed, DFT PBE
data_CsLiHg
_chemical_formula_sum 'Cs4 Li4 Hg4'
_space_group_name_H-M_alt 'F -4 3 m'
_space_group_IT_number 216
_space_group_name_Hall 'F -4 2 3'
_cell_length_a 8.3389
_cell_length_b 8.3389
_cell_length_c 8.3389
_cell_angle_alpha 90.00
_cell_angle_beta 90.00
_cell_angle_gamma 90.00
loop_
_atom_site_label
_atom_site_type_symbol
_atom_site_fract_x
_atom_site_fract_y
_atom_site_fract_z
_atom_site_occupancy
Cs1 Cs 0.0000 0.0000 0.0000 1
Li1 Li 0.0000 0.0000 0.5000 1
Hg1 Hg 0.2500 0.2500 0.2500 1
# E above lowest polymorph	0.0	meV per atom

=====

(3)
# CsLuHg, relaxed, DFT PBE
data_CsLuHg
_chemical_formula_sum 'Cs4 Lu4 Hg4'
_space_group_name_H-M_alt 'F -4 3 m'
_space_group_IT_number 216
_space_group_name_Hall 'F -4 2 3'
_cell_length_a 8.1337
_cell_length_b 8.1337
_cell_length_c 8.1337
_cell_angle_alpha 90.00
_cell_angle_beta 90.00
_cell_angle_gamma 90.00
loop_
_atom_site_label
_atom_site_type_symbol
_atom_site_fract_x
_atom_site_fract_y
_atom_site_fract_z
_atom_site_occupancy
Cs1 Cs 0.0000 0.0000 0.0000 1
Lu1 Lu 0.2500 0.2500 0.2500 1
Hg1 Hg 0.2500 0.2500 0.7500 1
# E above lowest polymorph	380.1	meV per atom

=====

(4)
# CsLuHg, relaxed, DFT PBE
data_CsLuHg
_chemical_formula_sum 'Cs4 Lu4 Hg4'
_space_group_name_H-M_alt 'F -4 3 m'
_space_group_IT_number 216
_space_group_name_Hall 'F -4 2 3'
_cell_length_a 7.9810
_cell_length_b 7.9810
_cell_length_c 7.9810
_cell_angle_alpha 90.00
_cell_angle_beta 90.00
_cell_angle_gamma 90.00
loop_
_atom_site_label
_atom_site_type_symbol
_atom_site_fract_x
_atom_site_fract_y
_atom_site_fract_z
_atom_site_occupancy
Cs1 Cs 0.0000 0.0000 0.0000 1
Lu1 Lu 0.0000 0.0000 0.5000 1
Hg1 Hg 0.2500 0.2500 0.2500 1
# E above lowest polymorph	0.0	meV per atom

=====

(5)
This record from OQMD via LeMat-Bulk describes an optimized crystal structure of Cs2Mg2Hg3. The functional is PBE.

Geometry as CIF:
```
data_Cs2Mg2Hg3
_chemical_formula_sum 'Cs6 Mg6 Hg9'
_space_group_name_H-M_alt 'R 3 m'
_space_group_IT_number 160
_space_group_name_Hall 'R 3 -2"'
_cell_length_a 5.0622
_cell_length_b 5.0622
_cell_length_c 36.1296
_cell_angle_alpha 90.00
_cell_angle_beta 90.00
_cell_angle_gamma 120.00
loop_
_atom_site_label
_atom_site_type_symbol
_atom_site_fract_x
_atom_site_fract_y
_atom_site_fract_z
_atom_site_occupancy
Cs1 Cs 0.0000 0.0000 0.0000 1
Cs2 Cs 0.0000 0.0000 0.4963 1
Mg1 Mg 0.0000 0.0000 0.2488 1
Mg2 Mg 0.0000 0.0000 0.7449 1
Hg1 Hg 0.0000 0.0000 0.3996 1
Hg2 Hg 0.0000 0.0000 0.5976 1
Hg3 Hg 0.0000 0.0000 0.8988 1
```

=====

(6)
This record from OQMD via LeMat-Bulk describes an optimized crystal structure of CsHgMo. The functional is PBE.

Geometry as CIF:
```
data_CsHgMo
_chemical_formula_sum 'Cs4 Hg4 Mo4'
_space_group_name_H-M_alt 'F -4 3 m'
_space_group_IT_number 216
_space_group_name_Hall 'F -4 2 3'
_cell_length_a 7.9991
_cell_length_b 7.9991
_cell_length_c 7.9991
_cell_angle_alpha 90.00
_cell_angle_beta 90.00
_cell_angle_gamma 90.00
loop_
_atom_site_label
_atom_site_type_symbol
_atom_site_fract_x
_atom_site_fract_y
_atom_site_fract_z
_atom_site_occupancy
Cs1 Cs 0.0000 0.0000 0.0000 1
Hg1 Hg 0.2500 0.2500 0.2500 1
Mo1 Mo 0.0000 0.0000 0.5000 1
```

=====

Ordered raw total energy results: -2.229, -0.977, -1.013, -1.394, -0.908, -2.546; unit eV/atom.